Record 1
{"formula": "NaTl2Pd3", "functional": "PBE", "state": "optimized geometry", "energy_ev_per_atom": -3.69, "ef_mev_per_atom": -81, "magnetic_moment_mub_per_fu": 0.0, "n_ef_per_ev_cell": 5.7, "crystal_system": "orthorhombic", "cell": [[5.179, -4.056, 0.000], [5.179, 4.056, 0.000], [0.000, 0.000, 6.226]], "species": ["Na", "Na", "Tl", "Tl", "Tl", "Tl", "Pd", "Pd", "Pd", "Pd", "Pd", "Pd"], "fractional_positions": [[0.135, 0.865, 0.750], [0.865, 0.135, 0.250], [0.274, 0.274, 0.000], [0.274, 0.274, 0.500], [0.726, 0.726, 0.000], [0.726, 0.726, 0.500], [0.082, 0.650, 0.250], [0.350, 0.918, 0.250], [0.491, 0.509, 0.750], [0.509, 0.491, 0.250], [0.650, 0.082, 0.750], [0.918, 0.350, 0.750]]}

Record 2
{"formula": "Tb5PmErSc2", "functional": "PBE", "state": "optimized geometry", "energy_ev_per_atom": -4.85, "ef_mev_per_atom": 167, "magnetic_moment_mub_per_fu": 0.0, "n_ef_per_ev_cell": 27.0, "crystal_system": "orthorhombic", "cell": [[2.803, -10.753, 0.000], [2.803, 10.753, 0.000], [0.000, 0.000, 9.347]], "species": ["Tb", "Tb", "Tb", "Tb", "Tb", "Tb", "Tb", "Tb", "Tb", "Tb", "Pm", "Pm", "Er", "Er", "Sc", "Sc", "Sc", "Sc"], "fractional_positions": [[0.010, 0.990, 0.500], [0.266, 0.734, 0.820], [0.307, 0.693, 0.205], [0.392, 0.608, 0.535], [0.468, 0.532, 0.236], [0.532, 0.468, 0.736], [0.608, 0.392, 0.035], [0.693, 0.307, 0.705], [0.734, 0.266, 0.320], [0.990, 0.010, 0.000], [0.184, 0.816, 0.506], [0.816, 0.184, 0.006], [0.403, 0.597, 0.907], [0.597, 0.403, 0.407], [0.114, 0.886, 0.814], [0.135, 0.865, 0.189], [0.865, 0.135, 0.689], [0.886, 0.114, 0.314]]}

Record 3
{"formula": "Ac2TiTl3O6", "functional": "PBE", "state": "optimized geometry", "energy_ev_per_atom": -6.56, "magnetic_moment_mub_per_fu": 0.0, "n_ef_per_ev_cell": 2.7, "raw_formation_energy_ev_per_atom": -2.15, "crystal_system": "monoclinic", "cell": [[3.178, -5.293, 0.000], [3.178, 5.293, 0.000], [-2.985, 0.000, 6.828]], "species": ["Ac", "Ac", "Ti", "Tl", "Tl", "Tl", "O", "O", "O", "O", "O", "O"], "fractional_positions": [[0.167, 0.833, 0.000], [0.833, 0.167, 0.000], [0.500, 0.500, 0.000], [0.000, 0.000, 0.500], [0.345, 0.655, 0.500], [0.655, 0.345, 0.500], [0.146, 0.425, 0.849], [0.315, 0.315, 0.172], [0.425, 0.146, 0.849], [0.575, 0.854, 0.151], [0.685, 0.685, 0.828], [0.854, 0.575, 0.151]]}

Record 4
{"formula": "Er2ZnAs", "functional": "PBE", "state": "optimized geometry", "energy_ev_per_atom": -4.10, "ef_mev_per_atom": -333, "magnetic_moment_mub_per_fu": 0.0, "n_ef_per_ev_cell": 4.6, "crystal_system": "trigonal", "cell": [[1.919, 1.108, 9.394], [-1.919, 1.108, 9.394], [0.000, -2.216, 9.394]], "species": ["Er", "Er", "Zn", "As"], "fractional_positions": [[0.107, 0.107, 0.107], [0.893, 0.893, 0.893], [0.000, 0.000, 0.000], [0.500, 0.500, 0.500]]}